Computed, not measured: a relaxed AcCo12P6 crystal at the PBE level of DFT.

extended XYZ file:
```
19
Lattice="5.140 2.967 2.592 -5.140 2.967 2.592 0.000 -5.935 2.592" Properties=species:S:1:pos:R:3 pbc="T T T"
Ac 0.000 0.000 0.000
Co -1.885 -3.265 3.888
Co -3.770 0.000 3.888
Co -1.365 -0.788 2.843
Co 1.365 -0.788 2.843
Co 0.000 1.576 2.843
Co 1.885 -3.265 3.888
Co -1.885 3.265 3.888
Co 0.000 -1.576 4.932
Co -1.365 0.788 4.932
Co 1.365 0.788 4.932
Co 3.770 0.000 3.888
Co 1.885 3.265 3.888
P 0.000 -2.571 2.950
P -2.227 1.286 2.950
P -2.227 -1.286 4.825
P 2.227 1.286 2.950
P 2.227 -1.286 4.825
P 0.000 2.571 4.825
```

Density of states at the Fermi level, states/eV/cell: 15.66
Energy of formation, eV/atom: -0.58

---

Computed, not measured: a relaxed AcCo6P3 crystal at the PBE level of DFT.

extended XYZ file:
```
10
Lattice="5.530 0.000 0.000 2.697 4.845 0.000 0.232 2.924 5.123" Properties=species:S:1:pos:R:3 pbc="T T T"
Ac 0.000 0.000 0.000
Co 1.237 2.530 1.260
Co 4.241 5.467 3.060
Co 3.108 2.941 3.111
Co 5.446 4.963 0.645
Co 4.011 2.366 0.773
Co 6.757 5.124 2.796
P 2.659 4.723 4.392
P 5.804 6.083 4.510
P 5.089 3.566 2.296
```

Density of states at the Fermi level, states/eV/cell: 7.76
Energy of formation, eV/atom: -0.41

---

Computed, not measured: a relaxed Ac2CoP3Pt12 crystal at the PBE level of DFT.

extended XYZ file:
```
18
Lattice="4.106 2.371 6.250 -4.106 2.371 6.250 0.000 -4.742 6.250" Properties=species:S:1:pos:R:3 pbc="T T T"
Ac 0.000 0.000 2.251
Ac 0.000 0.000 16.499
Co 0.000 0.000 9.375
P -2.053 -1.185 6.250
P -2.053 1.185 12.500
P 0.000 2.371 6.250
Pt -1.950 -1.126 8.517
Pt 0.000 -2.107 5.712
Pt -1.825 1.054 5.712
Pt 0.000 -2.251 10.234
Pt -1.950 1.126 10.234
Pt -1.825 -1.054 13.038
Pt 1.825 1.054 5.712
Pt 1.950 -1.126 8.517
Pt 0.000 2.251 8.517
Pt 1.825 -1.054 13.038
Pt 0.000 2.107 13.038
Pt 1.950 1.126 10.233
```

Density of states at the Fermi level, states/eV/cell: 11.68
Energy of formation, eV/atom: -0.42

---

Computed, not measured: a relaxed AcCoP2Rh crystal at the PBE level of DFT.

extended XYZ file:
```
5
Lattice="-1.950 1.950 5.934 1.950 -1.950 5.934 1.950 1.950 -5.934" Properties=species:S:1:pos:R:3 pbc="T T T"
Ac 0.000 0.000 0.000
Co 1.950 0.000 2.967
P 0.000 0.000 4.205
P 0.000 0.000 7.663
Rh 0.000 1.950 2.967
```

Density of states at the Fermi level, states/eV/cell: 3.27
Energy of formation, eV/atom: -0.95

---

| no. | calculated volume (A^3/atom) |
| --- | --- |
| 1 | 12.48 |
| 2 | 13.73 |
| 3 | 20.28 |
| 4 | 18.04 |